(1)
MnNi2N2: relaxed, PBE.

Cell: 2.808 5.040 13.913 Å, 90.00 90.00 90.00°
Element x y z (fractional)
1 Mn 0.250 0.380 0.198
2 Mn 0.250 0.880 0.302
3 Mn 0.750 0.620 0.802
4 Mn 0.750 0.120 0.698
5 Ni 0.250 0.705 0.967
6 Ni 0.250 0.205 0.533
7 Ni 0.750 0.295 0.033
8 Ni 0.750 0.795 0.467
9 Ni 0.250 0.184 0.868
10 Ni 0.250 0.684 0.632
11 Ni 0.750 0.816 0.132
12 Ni 0.750 0.316 0.368
13 N 0.250 0.530 0.315
14 N 0.250 0.030 0.185
15 N 0.750 0.470 0.685
16 N 0.750 0.970 0.815
17 N 0.250 0.556 0.090
18 N 0.250 0.056 0.410
19 N 0.750 0.444 0.910
20 N 0.750 0.944 0.590

Results
- energy above the most stable polymorph in this dataset (eV/f.u.) = 0.00
- symmetry = Pnma
- uncorrected formation energy (eV/atom) = 0.17
- theoretical density (g cm⁻³) = 6.758
- DOS(E_F) (states/eV/f.u.) = 3.92

***

(2)
Pm7Er3Tm2: relaxed, PBE.

Cell: 5.498 6.279 12.131 Å, 90.22 90.06 89.77°
Element x y z (fractional)
1 Pm 0.497 0.245 0.455
2 Pm 0.503 0.755 0.545
3 Pm 0.000 0.441 0.186
4 Pm 0.000 0.000 0.000
5 Pm 0.000 0.559 0.814
6 Pm 0.500 0.908 0.828
7 Pm 0.500 0.092 0.172
8 Er 0.500 0.500 0.000
9 Er 0.000 0.933 0.343
10 Er 0.000 0.067 0.657
11 Tm 0.500 0.618 0.276
12 Tm 0.500 0.382 0.724

Results
- energy above the most stable polymorph in this dataset (eV/f.u.) = 2.30
- symmetry = P-1
- theoretical density (g cm⁻³) = 7.353
- calculated formation energy (meV per atom) = 284.5
- DOS(E_F) (states/eV/f.u.) = 18.56

***

(3)
SiPtC3: relaxed, PBE.

Cell: 3.760 3.760 3.760 Å, 90.00 90.00 90.00°
Element x y z (fractional)
1 Si 0.000 0.000 0.000
2 C 0.000 0.500 0.000
3 C 0.000 0.000 0.500
4 C 0.500 0.000 0.000
5 Pt 0.500 0.500 0.500

Results
- symmetry = Pm-3m
- uncorrected formation energy (eV/atom) = 2.04
- theoretical density (g cm⁻³) = 8.098
- DOS(E_F) (states/eV/f.u.) = 3.05

***

(4)
YTm2Sb2: relaxed, PBE.

Cell: 7.898 7.898 5.896 Å, 111.60 111.60 97.00°
Element x y z (fractional)
1 Y 0.902 0.598 0.750
2 Y 0.098 0.402 0.250
3 Tm 0.225 0.912 0.521
4 Tm 0.412 0.725 0.021
5 Tm 0.775 0.088 0.479
6 Tm 0.588 0.275 0.979
7 Sb 0.178 0.322 0.750
8 Sb 0.370 0.130 0.250
9 Sb 0.630 0.870 0.750
10 Sb 0.822 0.678 0.250

Results
- symmetry = C2/c
- uncorrected formation energy (eV/atom) = -0.61
- theoretical density (g cm⁻³) = 7.334
- DOS(E_F) (states/eV/f.u.) = 5.10

***

(5)
CaSi4Ir: relaxed, PBE.

Cell: 5.154 5.154 5.154 Å, 60.00 60.00 60.00°
Element x y z (fractional)
1 Ca 0.750 0.750 0.750
2 Si 0.878 0.374 0.374
3 Si 0.374 0.374 0.878
4 Si 0.374 0.878 0.374
5 Si 0.374 0.374 0.374
6 Ir 0.000 0.000 0.000

Results
- symmetry = F-43m
- uncorrected formation energy (eV/atom) = 0.25
- theoretical density (g cm⁻³) = 5.911
- DOS(E_F) (states/eV/f.u.) = 4.67

***

(6)
Tl2CuRh3F12: relaxed, PBE.

Cell: 7.550 7.550 7.550 Å, 58.87 58.87 58.87°
Element x y z (fractional)
1 Tl 0.652 0.652 0.652
2 Tl 0.348 0.348 0.348
3 Cu 0.000 0.000 0.000
4 Rh 0.500 0.000 0.000
5 Rh 0.000 0.500 0.000
6 Rh 0.000 0.000 0.500
7 F 0.328 0.328 0.923
8 F 0.923 0.923 0.333
9 F 0.333 0.923 0.923
10 F 0.923 0.328 0.328
11 F 0.923 0.333 0.923
12 F 0.328 0.923 0.328
13 F 0.672 0.672 0.077
14 F 0.077 0.077 0.667
15 F 0.667 0.077 0.077
16 F 0.077 0.672 0.672
17 F 0.077 0.667 0.077
18 F 0.672 0.077 0.672

Results
- symmetry = R-3m
- uncorrected formation energy (eV/atom) = -1.57
- theoretical density (g cm⁻³) = 5.651
- DOS(E_F) (states/eV/f.u.) = 6.89

***

(7)
Ag3P5: relaxed, PBE.

Cell: 5.250 5.250 4.912 Å, 90.00 90.00 96.40°
Element x y z (fractional)
1 Ag 0.500 0.500 0.000
2 Ag 0.689 0.311 0.500
3 Ag 0.311 0.689 0.500
4 P 0.000 0.000 0.000
5 P 0.000 0.500 0.000
6 P 0.500 0.000 0.000
7 P 0.159 0.159 0.500
8 P 0.841 0.841 0.500

Results
- energy above the most stable polymorph in this dataset (eV/f.u.) = 2.55
- symmetry = Cmmm
- theoretical density (g cm⁻³) = 5.906
- calculated formation energy (meV per atom) = 522.3
- DOS(E_F) (states/eV/f.u.) = 2.99

***

(8)
RbLi2Sb2: relaxed, PBE.

Cell: 9.093 9.093 3.143 Å, 90.00 90.00 90.00°
Element x y z (fractional)
1 Sb 0.159 0.659 0.500
2 Sb 0.659 0.841 0.500
3 Sb 0.841 0.341 0.500
4 Sb 0.341 0.159 0.500
5 Rb 0.000 0.000 0.000
6 Rb 0.500 0.500 0.000
7 Li 0.375 0.875 0.000
8 Li 0.875 0.625 0.000
9 Li 0.625 0.125 0.000
10 Li 0.125 0.375 0.000

Results
- energy above the most stable polymorph in this dataset (eV/f.u.) = 0.17
- symmetry = P4/mbm
- uncorrected formation energy (eV/atom) = -0.42
- theoretical density (g cm⁻³) = 4.381
- DOS(E_F) (states/eV/f.u.) = 1.56